[1]
First-principles (GGA-PBEsol) data for an optimized crystal structure of RbSbOs3, as listed in Alexandria.

```
RbSbOs3
1.0
4.713 0.000 0.000
0.000 4.713 0.000
0.000 0.000 4.713
Rb Sb Os
1 1 3
Direct
0.000 0.000 0.000
0.500 0.500 0.500
0.000 0.000 0.500
0.000 0.500 0.000
0.500 0.000 0.000
```

Computed properties:
For the electronic total energy, the calculation gives -0.1674 Ha/atom. The calculation puts the density at 12337 kg/m3. As for the formation energy without anion corrections: 3890 meV per atom. The space group is No. 221.

[2]
First-principles (GGA-PBEsol) data for an optimized crystal structure of RbSb3Os, as listed in Alexandria.

```
RbSb3Os
1.0
5.649 0.000 0.000
0.000 5.649 0.000
0.000 0.000 5.649
Rb Sb Os
1 3 1
Direct
0.000 0.000 0.000
0.000 0.000 0.500
0.000 0.500 0.000
0.500 0.000 0.000
0.500 0.500 0.500
```

Computed properties:
For the electronic total energy, the calculation gives -0.0953 Ha/atom. The calculation puts the density at 5903 kg/m3. The energy above the lowest structure with this stoichiometry is 11.72 eV per formula unit. As for the formation energy without anion corrections: 2790 meV per atom. The space group is No. 221.

[3]
First-principles (GGA-PBEsol) data for an optimized crystal structure of RbSb2TeOs, as listed in Alexandria.

```
RbSb2TeOs
1.0
5.042 0.000 0.000
0.000 5.042 0.000
0.000 0.000 6.028
Rb Sb Te Os
1 2 1 1
Direct
0.000 0.000 0.000
0.000 0.500 0.500
0.500 0.000 0.500
0.500 0.500 0.000
0.500 0.500 0.500
```

Computed properties:
For the electronic total energy, the calculation gives -0.1795 Ha/atom. The calculation puts the density at 7007 kg/m3. As for the formation energy without anion corrections: 292 meV per atom. The space group is No. 123.

[4]
First-principles (GGA-PBEsol) data for an optimized crystal structure of RbSc2Os, as listed in Alexandria.

```
RbSc2Os
1.0
1.953 1.127 10.121
-1.953 1.127 10.121
0.000 -2.255 10.121
Rb Sc Os
1 2 1
Direct
0.000 0.000 0.000
0.126 0.126 0.126
0.874 0.874 0.874
0.500 0.500 0.500
```

Computed properties:
For the electronic total energy, the calculation gives -0.2331 Ha/atom. The calculation puts the density at 4542 kg/m3. The space group is No. 166. The value obtained for the formation energy is 6.222 kcal/mol of atoms.